Record 1
! U3MoN7 (PBE-GGA, relaxed); values from VASP
&SYSTEM
  ibrav = 0, nat = 22, ntyp = 3
/
ATOMIC_SPECIES
U 238.03 U.upf
Mo 95.94 Mo.upf
N 14.01 N.upf
CELL_PARAMETERS angstrom
3.687 -5.166 0.000
3.687 5.166 0.000
0.000 0.000 7.364
ATOMIC_POSITIONS crystal
U 0.000 0.000 0.000
U 0.000 0.000 0.500
U 0.030 0.502 0.750
U 0.498 0.970 0.750
U 0.502 0.030 0.250
U 0.970 0.498 0.250
Mo 0.500 0.500 0.000
Mo 0.500 0.500 0.500
N 0.127 0.873 0.250
N 0.139 0.861 0.750
N 0.150 0.402 0.472
N 0.150 0.403 0.028
N 0.402 0.150 0.528
N 0.403 0.150 0.972
N 0.421 0.579 0.750
N 0.579 0.421 0.250
N 0.597 0.850 0.472
N 0.598 0.850 0.028
N 0.850 0.597 0.528
N 0.850 0.598 0.972
N 0.861 0.139 0.250
N 0.873 0.127 0.750
! total magnetization = 3.1 μB/cell
! SG = C222_1, No. 20
! Fermi-level density of states = 1.012 states/eV/atom
! ΔE_f (raw) = -1039 meV per atom



Record 2
! NdSc2Cu (PBE-GGA, relaxed); values from VASP
&SYSTEM
  ibrav = 0, nat = 12, ntyp = 3
/
ATOMIC_SPECIES
Nd 144.24 Nd.upf
Sc 44.96 Sc.upf
Cu 63.55 Cu.upf
CELL_PARAMETERS angstrom
3.323 0.000 0.000
-1.662 2.878 0.000
0.000 0.000 31.211
ATOMIC_POSITIONS crystal
Nd 0.000 0.000 0.000
Nd 0.333 0.667 0.667
Nd 0.667 0.333 0.333
Sc 0.000 0.000 0.105
Sc 0.000 0.000 0.895
Sc 0.333 0.667 0.561
Sc 0.333 0.667 0.772
Sc 0.667 0.333 0.228
Sc 0.667 0.333 0.439
Cu 0.000 0.000 0.500
Cu 0.333 0.667 0.167
Cu 0.667 0.333 0.833
! ΔE to the lowest computed polymorph = 289 meV/atom
! total magnetization = 0.0 μB/cell
! SG = R-3m, No. 166
! Fermi-level density of states = 1.376 states/eV/atom
! formation energy = 0.21 eV per atom



Record 3
! Sc8CuC4 (PBE-GGA, relaxed); values from VASP
&SYSTEM
  ibrav = 0, nat = 13, ntyp = 3
/
ATOMIC_SPECIES
Sc 44.96 Sc.upf
Cu 63.55 Cu.upf
C 12.01 C.upf
CELL_PARAMETERS angstrom
8.078 -1.687 0.000
8.078 1.687 0.000
-8.067 0.000 8.081
ATOMIC_POSITIONS crystal
Sc 0.000 0.000 0.000
Sc 0.013 0.013 0.284
Sc 0.038 0.038 0.708
Sc 0.309 0.309 0.964
Sc 0.398 0.398 0.375
Sc 0.669 0.669 0.631
Sc 0.694 0.694 0.055
Sc 0.707 0.707 0.339
Cu 0.353 0.353 0.670
C 0.030 0.030 0.499
C 0.201 0.201 0.193
C 0.506 0.506 0.146
C 0.677 0.677 0.840
! total magnetization = 0.0 μB/cell
! SG = Cm, No. 8
! Fermi-level density of states = 0.580 states/eV/atom
! formation energy = -0.36 eV per atom



Record 4
! ErLuMnFe (PBE-GGA, relaxed); values from VASP
&SYSTEM
  ibrav = 0, nat = 16, ntyp = 4
/
ATOMIC_SPECIES
Er 167.26 Er.upf
Lu 174.97 Lu.upf
Mn 54.94 Mn.upf
Fe 55.84 Fe.upf
CELL_PARAMETERS angstrom
6.803 0.000 0.000
0.000 6.803 0.000
0.000 0.000 6.803
ATOMIC_POSITIONS crystal
Er 0.000 0.000 0.000
Er 0.000 0.500 0.500
Er 0.500 0.000 0.500
Er 0.500 0.500 0.000
Lu 0.000 0.000 0.500
Lu 0.000 0.500 0.000
Lu 0.500 0.000 0.000
Lu 0.500 0.500 0.500
Mn 0.250 0.250 0.750
Mn 0.250 0.750 0.250
Mn 0.750 0.250 0.250
Mn 0.750 0.750 0.750
Fe 0.250 0.250 0.250
Fe 0.250 0.750 0.750
Fe 0.750 0.250 0.750
Fe 0.750 0.750 0.250
! total magnetization = 18.4 μB/cell
! SG = F-43m, No. 216
! Fermi-level density of states = 1.454 states/eV/atom
! formation energy = 0.13 eV per atom



Record 5
! PtC2N (PBE-GGA, relaxed); values from VASP
&SYSTEM
  ibrav = 0, nat = 16, ntyp = 3
/
ATOMIC_SPECIES
Pt 195.08 Pt.upf
C 12.01 C.upf
N 14.01 N.upf
CELL_PARAMETERS angstrom
4.432 0.000 0.000
0.000 4.432 0.000
0.000 0.000 7.310
ATOMIC_POSITIONS crystal
Pt 0.000 0.000 0.000
Pt 0.000 0.500 0.250
Pt 0.500 0.000 0.750
Pt 0.500 0.500 0.500
C 0.165 0.250 0.625
C 0.250 0.665 0.875
C 0.250 0.835 0.375
C 0.335 0.250 0.125
C 0.665 0.750 0.125
C 0.750 0.165 0.375
C 0.750 0.335 0.875
C 0.835 0.750 0.625
N 0.000 0.000 0.500
N 0.000 0.500 0.750
N 0.500 0.000 0.250
N 0.500 0.500 0.000
! total magnetization = 0.0 μB/cell
! SG = I-42d, No. 122
! Fermi-level density of states = 0.774 states/eV/atom
! ΔE_f (raw) = 1379 meV per atom



Record 6
! ErSeBrO4 (PBE-GGA, relaxed); values from VASP
&SYSTEM
  ibrav = 0, nat = 14, ntyp = 4
/
ATOMIC_SPECIES
Er 167.26 Er.upf
Se 78.96 Se.upf
Br 79.90 Br.upf
O 16.00 O.upf
CELL_PARAMETERS angstrom
5.097 -3.539 0.000
5.097 3.539 0.000
-1.661 0.000 6.491
ATOMIC_POSITIONS crystal
Er 0.230 0.230 0.129
Er 0.770 0.770 0.871
Se 0.364 0.364 0.732
Se 0.636 0.636 0.268
Br 0.018 0.018 0.757
Br 0.982 0.982 0.243
O 0.131 0.488 0.862
O 0.284 0.284 0.487
O 0.470 0.470 0.233
O 0.488 0.131 0.862
O 0.512 0.869 0.138
O 0.530 0.530 0.767
O 0.716 0.716 0.513
O 0.869 0.512 0.138
! total magnetization = 0.0 μB/cell
! SG = C2/m, No. 12
! ΔE_f (raw) = -1598 meV per atom



Record 7
! HfVSeBr2 (PBE-GGA, relaxed); values from VASP
&SYSTEM
  ibrav = 0, nat = 5, ntyp = 4
/
ATOMIC_SPECIES
Hf 178.49 Hf.upf
V 50.94 V.upf
Se 78.96 Se.upf
Br 79.90 Br.upf
CELL_PARAMETERS angstrom
5.234 0.000 0.000
0.000 5.234 0.000
0.000 0.000 5.211
ATOMIC_POSITIONS crystal
Hf 0.000 0.000 0.000
V 0.500 0.500 0.500
Se 0.000 0.000 0.500
Br 0.000 0.500 0.000
Br 0.500 0.000 0.000
! ΔE to the lowest computed polymorph = 0 meV/atom
! total magnetization = 4.2 μB/cell
! SG = P4/mmm, No. 123
! Fermi-level density of states = 1.586 states/eV/atom
! ΔE_f (raw) = -30 meV per atom



Record 8
! Tm2ZrAu (PBE-GGA, relaxed); values from VASP
&SYSTEM
  ibrav = 0, nat = 4, ntyp = 3
/
ATOMIC_SPECIES
Tm 168.93 Tm.upf
Zr 91.22 Zr.upf
Au 196.97 Au.upf
CELL_PARAMETERS angstrom
3.417 0.000 0.000
0.000 3.417 0.000
0.000 0.000 8.345
ATOMIC_POSITIONS crystal
Tm 0.000 0.000 0.228
Tm 0.000 0.000 0.772
Zr 0.500 0.500 0.500
Au 0.500 0.500 0.000
! total magnetization = 0.0 μB/cell
! SG = P4/mmm, No. 123
! Fermi-level density of states = 0.796 states/eV/atom
! formation energy = -0.41 eV per atom